No. 1
Below is KCrW2 after structural relaxation, with properties calculated at the PBE level.

Cell: 2.8578 3.6712 8.3765 Å, 90.00 90.00 90.00°
Last column: nearest neighbours and their distance in Å.
Fractional coordinates of all 4 atoms:
W1 0.0000 0.0000 0.1056  1 W 2.42, 4 Cr 2.62
W2 0.0000 0.0000 0.3944  1 W 2.42, 4 Cr 2.62
Cr1 0.5000 0.5000 0.2500  8 W 2.62, 2 Cr 2.86
K1 0.5000 0.5000 0.7500  2 K 2.86

Properties
**E_tot**: -32.418 eV per cell
**Excess energy over the best structure of this formula in the dataset**: 185.3 meV/atom
**Calculated formation energy**: 101.52 kJ per mole of atoms


No. 2
Below is K2CrW after structural relaxation, with properties calculated at the PBE level.

Cell: 10.6963 10.6963 3.9826 Å, 79.76 79.76 16.21°
Last column: nearest neighbours and their distance in Å.
Fractional coordinates of all 4 atoms:
W1 0.2500 0.2500 0.2500  4 Cr 2.50
K1 0.3996 0.3996 0.6083  2 K 3.02
K2 0.1004 0.1004 0.8917  2 K 3.02
Cr1 0.7500 0.7500 0.7500  4 W 2.50

Properties
**E_tot**: -20.799 eV per cell
**Excess energy over the best structure of this formula in the dataset**: 38.0 meV/atom
**Calculated formation energy**: 95.82 kJ per mole of atoms


No. 3
Below is K2CrW after structural relaxation, with properties calculated at the PBE level.

Cell: 12.5684 12.5684 12.5684 Å, 13.64 13.64 13.64°
Last column: nearest neighbours and their distance in Å.
Fractional coordinates of all 4 atoms:
K1 0.9988 0.9988 0.9988  6 K 2.99
K2 0.5012 0.5012 0.5012  6 K 2.99
W1 0.2500 0.2500 0.2500  6 W 2.99
Cr1 0.7500 0.7500 0.7500  6 Cr 2.99

Properties
**E_tot**: -18.476 eV per cell
**Excess energy over the best structure of this formula in the dataset**: 618.8 meV/atom
**Calculated formation energy**: 151.86 kJ per mole of atoms


Among the records above, which one has the lowest E_tot? KCrW2


Please write out number 2 again, unchanged.
Below is K2CrW after structural relaxation, with properties calculated at the PBE level.

Cell: 10.6963 10.6963 3.9826 Å, 79.76 79.76 16.21°
Last column: nearest neighbours and their distance in Å.
Fractional coordinates of all 4 atoms:
W1 0.2500 0.2500 0.2500  4 Cr 2.50
K1 0.3996 0.3996 0.6083  2 K 3.02
K2 0.1004 0.1004 0.8917  2 K 3.02
Cr1 0.7500 0.7500 0.7500  4 W 2.50

Properties
**E_tot**: -20.799 eV per cell
**Excess energy over the best structure of this formula in the dataset**: 38.0 meV/atom
**Calculated formation energy**: 95.82 kJ per mole of atoms


The lowest excess energy over the best structure of this formula in the dataset belongs to which entry? number 2